## one
A plane-wave DFT calculation with PBE was carried out for Ba2I3 after structural relaxation.

Properties
Crystal system = trigonal
Volume = 532.50 Å³ per cell
Total moment = 0.64 Bohr magnetons per cell

abc: 9.837 9.837 9.837
angles: 51.14 51.14 51.14
Fractional coordinates of all 10 atoms:
Ba 0.160 0.160 0.160
Ba 0.340 0.340 0.340
Ba 0.660 0.660 0.660
Ba 0.840 0.840 0.840
I 0.062 0.750 0.438
I 0.250 0.562 0.938
I 0.438 0.062 0.750
I 0.562 0.938 0.250
I 0.750 0.438 0.062
I 0.938 0.250 0.562


## two
A plane-wave DFT calculation with PBE was carried out for Ba2I3 after structural relaxation.

Properties
Crystal system = trigonal
Volume = 256.19 Å³ per cell
Total moment = 0.00 Bohr magnetons per cell

abc: 11.992 11.992 11.992
angles: 24.28 24.28 24.28
Fractional coordinates of all 5 atoms:
Ba 0.108 0.108 0.108
Ba 0.892 0.892 0.892
I 0.278 0.278 0.278
I 0.500 0.500 0.500
I 0.722 0.722 0.722


Which structure is most stable? two, by 22 meV/atom over the runner-up.


## one
A plane-wave DFT calculation with PBE was carried out for BaIn2I after structural relaxation.

Properties
Crystal system = cubic
Volume = 148.17 Å³ per cell
Total moment = 0.00 Bohr magnetons per cell

abc: 5.940 5.940 5.940
angles: 60.00 60.00 60.00
Fractional coordinates of all 4 atoms:
Ba 0.000 0.000 0.000
In 0.250 0.250 0.250
In 0.750 0.750 0.750
I 0.500 0.500 0.500


## two
A plane-wave DFT calculation with PBE was carried out for BaIn2I after structural relaxation.

Properties
Crystal system = tetragonal
Volume = 322.75 Å³ per cell
Total moment = 0.00 Bohr magnetons per cell

abc: 7.692 7.692 7.692
angles: 101.13 101.13 127.88
Fractional coordinates of all 8 atoms:
Ba 0.000 0.000 0.000
Ba 0.750 0.250 0.500
In 0.143 0.625 0.018
In 0.375 0.393 0.518
In 0.607 0.125 0.982
In 0.875 0.857 0.482
I 0.250 0.750 0.500
I 0.500 0.500 0.000


Which structure is most stable? two, by 133 meV/atom over the runner-up.


## one
A plane-wave DFT calculation with PBE was carried out for BaInI4 after structural relaxation.

Properties
Crystal system = monoclinic
Volume = 277.23 Å³ per cell
Total moment = 0.00 Bohr magnetons per cell

abc: 5.914 5.914 8.215
angles: 100.81 100.81 87.94
Fractional coordinates of all 6 atoms:
Ba 0.000 0.000 0.000
In 0.500 0.500 0.500
I 0.038 0.563 0.263
I 0.437 0.962 0.737
I 0.563 0.038 0.263
I 0.962 0.437 0.737


## two
A plane-wave DFT calculation with PBE was carried out for BaInI4 after structural relaxation.

Properties
Crystal system = monoclinic
Volume = 666.15 Å³ per cell
Total moment = 0.00 Bohr magnetons per cell

abc: 6.657 11.409 9.325
angles: 90.00 109.85 90.00
Fractional coordinates of all 12 atoms:
Ba 0.074 0.250 0.122
Ba 0.926 0.750 0.878
In 0.268 0.750 0.438
In 0.732 0.250 0.562
I 0.102 0.564 0.198
I 0.102 0.936 0.198
I 0.265 0.250 0.527
I 0.386 0.750 0.795
I 0.614 0.250 0.205
I 0.735 0.750 0.473
I 0.898 0.064 0.802
I 0.898 0.436 0.802


Which structure is most stable? two, by 32 meV/atom over the runner-up.


## one
A plane-wave DFT calculation with PBE was carried out for BaInIO2 after structural relaxation.

Properties
Crystal system = orthorhombic
Volume = 271.46 Å³ per cell
Total moment = 0.00 Bohr magnetons per cell

abc: 7.556 7.556 6.172
angles: 90.00 90.00 129.62
Fractional coordinates of all 10 atoms:
Ba 0.104 0.896 0.750
Ba 0.896 0.104 0.250
In 0.498 0.502 0.750
In 0.502 0.498 0.250
I 0.262 0.738 0.250
I 0.738 0.262 0.750
O 0.272 0.272 0.000
O 0.272 0.272 0.500
O 0.728 0.728 0.000
O 0.728 0.728 0.500


## two
A plane-wave DFT calculation with PBE was carried out for BaInIO2 after structural relaxation.

Properties
Crystal system = tetragonal
Volume = 113.33 Å³ per cell
Total moment = 0.00 Bohr magnetons per cell

abc: 4.517 4.517 5.555
angles: 90.00 90.00 90.00
Fractional coordinates of all 5 atoms:
Ba 0.000 0.000 0.000
In 0.500 0.500 0.500
I 0.500 0.500 0.000
O 0.000 0.500 0.500
O 0.500 0.000 0.500


## three
A plane-wave DFT calculation with PBE was carried out for BaInIO2 after structural relaxation.

Properties
Crystal system = tetragonal
Volume = 180.63 Å³ per cell
Total moment = 1.98 Bohr magnetons per cell

abc: 4.980 4.980 7.283
angles: 90.00 90.00 90.00
Fractional coordinates of all 5 atoms:
Ba 0.000 0.000 0.000
In 0.500 0.500 0.500
I 0.000 0.000 0.500
O 0.000 0.500 0.000
O 0.500 0.000 0.000


Which structure is most stable? one, by 716 meV/atom over the runner-up.


## one
A plane-wave DFT calculation with PBE was carried out for BaInTe2I after structural relaxation.

Properties
Crystal system = tetragonal
Volume = 295.06 Å³ per cell
Total moment = 1.86 Bohr magnetons per cell

abc: 6.642 6.642 6.688
angles: 90.00 90.00 90.00
Fractional coordinates of all 5 atoms:
Ba 0.000 0.000 0.000
In 0.500 0.500 0.500
Te 0.000 0.500 0.000
Te 0.500 0.000 0.000
I 0.000 0.000 0.500


## two
A plane-wave DFT calculation with PBE was carried out for BaInTe2I after structural relaxation.

Properties
Crystal system = tetragonal
Volume = 199.98 Å³ per cell
Total moment = 0.00 Bohr magnetons per cell

abc: 5.755 5.755 6.037
angles: 90.00 90.00 90.00
Fractional coordinates of all 5 atoms:
Ba 0.000 0.000 0.000
In 0.500 0.500 0.500
Te 0.000 0.500 0.500
Te 0.500 0.000 0.500
I 0.500 0.500 0.000


Which structure is most stable? two, by 493 meV/atom over the runner-up.


## one
A plane-wave DFT calculation with PBE was carried out for BaInTeI2 after structural relaxation.

Properties
Crystal system = tetragonal
Volume = 302.34 Å³ per cell
Total moment = 1.02 Bohr magnetons per cell

abc: 6.695 6.695 6.746
angles: 90.00 90.00 90.00
Fractional coordinates of all 5 atoms:
Ba 0.000 0.000 0.000
In 0.500 0.500 0.500
Te 0.000 0.000 0.500
I 0.000 0.500 0.000
I 0.500 0.000 0.000


## two
A plane-wave DFT calculation with PBE was carried out for BaInTeI2 after structural relaxation.

Properties
Crystal system = tetragonal
Volume = 212.59 Å³ per cell
Total moment = 0.00 Bohr magnetons per cell

abc: 6.017 6.017 5.871
angles: 90.00 90.00 90.00
Fractional coordinates of all 5 atoms:
Ba 0.000 0.000 0.000
In 0.500 0.500 0.500
Te 0.500 0.500 0.000
I 0.000 0.500 0.500
I 0.500 0.000 0.500


Which structure is most stable? two, by 228 meV/atom over the runner-up.